# K2Mg4Sn3Pb

K2Mg4Sn3Pb after structural relaxation (PBE-GGA, the Alexandria database).

Geometry as CIF:
```
data_K2Mg4Sn3Pb
_symmetry_space_group_name_H-M 'P -4 m 2'
_symmetry_Int_Tables_number 115
_cell_length_a 4.838
_cell_length_b 4.838
_cell_length_c 12.908
_cell_angle_alpha 90.00
_cell_angle_beta 90.00
_cell_angle_gamma 90.00
loop_
_symmetry_equiv_pos_as_xyz
'x,y,z'
'y,-x,-z'
'-x,-y,z'
'-y,x,-z'
'-x,y,z'
'-y,-x,-z'
'x,-y,z'
'y,x,-z'
loop_
_atom_site_label
_atom_site_fract_x
_atom_site_fract_y
_atom_site_fract_z
K1 0.000 0.500 0.243
Mg1 0.000 0.000 0.000
Mg2 0.000 0.500 0.646
Mg3 0.500 0.500 0.000
Sn1 0.000 0.500 0.867
Sn2 0.500 0.500 0.500
Pb1 0.000 0.000 0.500
```


# KMgSnPb2

KMgSnPb2 after structural relaxation (PBE-GGA, the Alexandria database).

Geometry as CIF:
```
data_KMgSnPb2
_symmetry_space_group_name_H-M 'I -4 m 2'
_symmetry_Int_Tables_number 119
_symmetry_space_group_name_Hall 'I -4 -2'
_cell_length_a 4.713
_cell_length_b 4.713
_cell_length_c 14.944
_cell_angle_alpha 90.00
_cell_angle_beta 90.00
_cell_angle_gamma 90.00
loop_
_atom_site_label
_atom_site_fract_x
_atom_site_fract_y
_atom_site_fract_z
K1 0.000 0.000 0.000
Mg1 0.000 0.500 0.250
Sn1 0.000 0.500 0.750
Pb1 0.000 0.000 0.385
```


# KMg2SnPb

KMg2SnPb after structural relaxation (PBE-GGA, the Alexandria database).

Geometry as CIF:
```
data_KMg2SnPb
_symmetry_space_group_name_H-M 'P 4/m m m'
_symmetry_Int_Tables_number 123
_symmetry_space_group_name_Hall '-P 4 2'
_cell_length_a 5.462
_cell_length_b 5.462
_cell_length_c 6.395
_cell_angle_alpha 90.00
_cell_angle_beta 90.00
_cell_angle_gamma 90.00
loop_
_atom_site_label
_atom_site_fract_x
_atom_site_fract_y
_atom_site_fract_z
K1 0.000 0.000 0.000
Mg1 0.000 0.500 0.500
Sn1 0.500 0.500 0.500
Pb1 0.500 0.500 0.000
```


# K2Mg3Sn4Pb

K2Mg3Sn4Pb after structural relaxation (PBE-GGA, the Alexandria database).

Geometry as CIF:
```
data_K2Mg3Sn4Pb
_symmetry_space_group_name_H-M 'P -4 m 2'
_symmetry_Int_Tables_number 115
_cell_length_a 4.956
_cell_length_b 4.956
_cell_length_c 12.682
_cell_angle_alpha 90.00
_cell_angle_beta 90.00
_cell_angle_gamma 90.00
loop_
_symmetry_equiv_pos_as_xyz
'x,y,z'
'y,-x,-z'
'-x,-y,z'
'-y,x,-z'
'-x,y,z'
'-y,-x,-z'
'x,-y,z'
'y,x,-z'
loop_
_atom_site_label
_atom_site_fract_x
_atom_site_fract_y
_atom_site_fract_z
K1 0.000 0.500 0.244
Mg1 0.000 0.500 0.869
Mg2 0.500 0.500 0.500
Sn1 0.000 0.000 0.000
Sn2 0.000 0.500 0.641
Sn3 0.500 0.500 0.000
Pb1 0.000 0.000 0.500
```


# KMgSnPb

KMgSnPb after structural relaxation (PBE-GGA, the Alexandria database).

Geometry as CIF:
```
data_KMgSnPb
_symmetry_space_group_name_H-M 'F -4 3 m'
_symmetry_Int_Tables_number 216
_symmetry_space_group_name_Hall 'F -4 2 3'
_cell_length_a 7.775
_cell_length_b 7.775
_cell_length_c 7.775
_cell_angle_alpha 90.00
_cell_angle_beta 90.00
_cell_angle_gamma 90.00
loop_
_atom_site_label
_atom_site_fract_x
_atom_site_fract_y
_atom_site_fract_z
K1 0.000 0.000 0.000
Mg1 0.000 0.000 0.500
Sn1 0.250 0.250 0.750
Pb1 0.250 0.250 0.250
```


# KMg2TlPb2

KMg2TlPb2 after structural relaxation (PBE-GGA, the Alexandria database).

Geometry as CIF:
```
data_KMg2TlPb2
_symmetry_space_group_name_H-M 'P -3 m 1'
_symmetry_Int_Tables_number 164
_symmetry_space_group_name_Hall '-P 3 2"'
_cell_length_a 4.9491
_cell_length_b 4.9491
_cell_length_c 9.2174
_cell_angle_alpha 90.00
_cell_angle_beta 90.00
_cell_angle_gamma 120.00
loop_
_atom_site_label
_atom_site_fract_x
_atom_site_fract_y
_atom_site_fract_z
K1 0.0000 0.0000 0.0000
Mg1 0.3333 0.6667 0.6123
Tl1 0.0000 0.0000 0.5000
Pb1 0.3333 0.6667 0.2578
```


# KMg2Tl4Pb

KMg2Tl4Pb after structural relaxation (PBE-GGA, the Alexandria database).

Geometry as CIF:
```
data_KMg2Tl4Pb
_symmetry_space_group_name_H-M 'R -3 m'
_symmetry_Int_Tables_number 166
_symmetry_space_group_name_Hall '-R 3 2"'
_cell_length_a 5.3372
_cell_length_b 5.3372
_cell_length_c 31.1619
_cell_angle_alpha 90.00
_cell_angle_beta 90.00
_cell_angle_gamma 120.00
loop_
_atom_site_label
_atom_site_fract_x
_atom_site_fract_y
_atom_site_fract_z
K1 0.0000 0.0000 0.0000
Mg1 0.0000 0.0000 0.2229
Tl1 0.0000 0.0000 0.1177
Tl2 0.0000 0.0000 0.3980
Pb1 0.0000 0.0000 0.5000
```


# K2MgTl6Pb

K2MgTl6Pb after structural relaxation (PBE-GGA, the Alexandria database).

Geometry as CIF:
```
data_K2MgTl6Pb
_symmetry_space_group_name_H-M 'R -3 m'
_symmetry_Int_Tables_number 166
_symmetry_space_group_name_Hall '-R 3 2"'
_cell_length_a 7.8171
_cell_length_b 7.8171
_cell_length_c 41.4774
_cell_angle_alpha 90.00
_cell_angle_beta 90.00
_cell_angle_gamma 120.00
loop_
_atom_site_label
_atom_site_fract_x
_atom_site_fract_y
_atom_site_fract_z
K1 0.0000 0.0000 0.1030
K2 0.0000 0.0000 0.2779
Mg1 0.0000 0.0000 0.0000
Mg2 0.0000 0.0000 0.5000
Tl1 0.0566 0.5283 0.3062
Tl2 0.0590 0.5295 0.8633
Pb1 0.0000 0.0000 0.4244
```


# KMg2Tl2Pb

KMg2Tl2Pb after structural relaxation (PBE-GGA, the Alexandria database).

Geometry as CIF:
```
data_KMg2Tl2Pb
_symmetry_space_group_name_H-M 'P -3 m 1'
_symmetry_Int_Tables_number 164
_symmetry_space_group_name_Hall '-P 3 2"'
_cell_length_a 5.0761
_cell_length_b 5.0761
_cell_length_c 8.4398
_cell_angle_alpha 90.00
_cell_angle_beta 90.00
_cell_angle_gamma 120.00
loop_
_atom_site_label
_atom_site_fract_x
_atom_site_fract_y
_atom_site_fract_z
K1 0.0000 0.0000 0.0000
Mg1 0.3333 0.6667 0.6425
Tl1 0.3333 0.6667 0.2399
Pb1 0.0000 0.0000 0.5000
```


# KMgTl2Pb

KMgTl2Pb after structural relaxation (PBE-GGA, the Alexandria database).

Geometry as CIF:
```
data_KMgTl2Pb
_symmetry_space_group_name_H-M 'P m m a'
_symmetry_Int_Tables_number 51
_cell_length_a 6.375
_cell_length_b 7.135
_cell_length_c 7.278
_cell_angle_alpha 90.00
_cell_angle_beta 90.00
_cell_angle_gamma 90.00
loop_
_symmetry_equiv_pos_as_xyz
'x,y,z'
'-x,-y,-z'
'-x+1/2,-y,z'
'x+1/2,y,-z'
'x+1/2,-y,-z'
'-x+1/2,y,z'
'-x,y,-z'
'x,-y,z'
loop_
_atom_site_label
_atom_site_fract_x
_atom_site_fract_y
_atom_site_fract_z
K1 0.250 0.000 0.211
Mg1 0.000 0.500 0.000
Tl1 0.250 0.247 0.712
Pb1 0.250 0.500 0.355
```

Calculated values
energy above the most stable polymorph in this dataset: 0 meV/atom


# K2Mg3Tl12Pb

K2Mg3Tl12Pb after structural relaxation (PBE-GGA, the Alexandria database).

Geometry as CIF:
```
data_K2Mg3Tl12Pb
_symmetry_space_group_name_H-M 'R -3 m'
_symmetry_Int_Tables_number 166
_symmetry_space_group_name_Hall '-R 3 2"'
_cell_length_a 6.8815
_cell_length_b 6.8815
_cell_length_c 43.8206
_cell_angle_alpha 90.00
_cell_angle_beta 90.00
_cell_angle_gamma 120.00
loop_
_atom_site_label
_atom_site_fract_x
_atom_site_fract_y
_atom_site_fract_z
K1 0.0000 0.0000 0.1448
Mg1 0.0000 0.5000 0.0000
Tl1 0.0027 0.5014 0.8922
Tl2 0.0193 0.5097 0.6158
Pb1 0.0000 0.0000 0.5000
```


# KMgTl2Pb

KMgTl2Pb after structural relaxation (PBE-GGA, the Alexandria database).

Geometry as CIF:
```
data_KMgTl2Pb
_symmetry_space_group_name_H-M 'P 4/m m m'
_symmetry_Int_Tables_number 123
_symmetry_space_group_name_Hall '-P 4 2'
_cell_length_a 5.680
_cell_length_b 5.680
_cell_length_c 5.634
_cell_angle_alpha 90.00
_cell_angle_beta 90.00
_cell_angle_gamma 90.00
loop_
_atom_site_label
_atom_site_fract_x
_atom_site_fract_y
_atom_site_fract_z
K1 0.000 0.000 0.000
Mg1 0.500 0.500 0.500
Tl1 0.000 0.500 0.500
Pb1 0.500 0.500 0.000
```

Calculated values
energy above the most stable polymorph in this dataset: 158 meV/atom


# K2Mg4TlPb3

K2Mg4TlPb3 after structural relaxation (PBE-GGA, the Alexandria database).

Geometry as CIF:
```
data_K2Mg4TlPb3
_symmetry_space_group_name_H-M 'P -4 m 2'
_symmetry_Int_Tables_number 115
_cell_length_a 4.951
_cell_length_b 4.951
_cell_length_c 12.858
_cell_angle_alpha 90.00
_cell_angle_beta 90.00
_cell_angle_gamma 90.00
loop_
_symmetry_equiv_pos_as_xyz
'x,y,z'
'y,-x,-z'
'-x,-y,z'
'-y,x,-z'
'-x,y,z'
'-y,-x,-z'
'x,-y,z'
'y,x,-z'
loop_
_atom_site_label
_atom_site_fract_x
_atom_site_fract_y
_atom_site_fract_z
K1 0.000 0.500 0.244
Mg1 0.000 0.000 0.000
Mg2 0.000 0.500 0.640
Mg3 0.500 0.500 0.000
Tl1 0.000 0.000 0.500
Pb1 0.000 0.500 0.867
Pb2 0.500 0.500 0.500
```


# KMg2ZnPb

KMg2ZnPb after structural relaxation (PBE-GGA, the Alexandria database).

Geometry as CIF:
```
data_KMg2ZnPb
_symmetry_space_group_name_H-M 'P 4/m m m'
_symmetry_Int_Tables_number 123
_symmetry_space_group_name_Hall '-P 4 2'
_cell_length_a 6.816
_cell_length_b 6.816
_cell_length_c 6.591
_cell_angle_alpha 90.00
_cell_angle_beta 90.00
_cell_angle_gamma 90.00
loop_
_atom_site_label
_atom_site_fract_x
_atom_site_fract_y
_atom_site_fract_z
K1 0.000 0.000 0.000
Mg1 0.000 0.500 0.000
Zn1 0.500 0.500 0.500
Pb1 0.000 0.000 0.500
```


# KMgPd4

KMgPd4 after structural relaxation (PBE-GGA, the Alexandria database).

Geometry as CIF:
```
data_KMgPd4
_symmetry_space_group_name_H-M 'F -4 3 m'
_symmetry_Int_Tables_number 216
_symmetry_space_group_name_Hall 'F -4 2 3'
_cell_length_a 7.695
_cell_length_b 7.695
_cell_length_c 7.695
_cell_angle_alpha 90.00
_cell_angle_beta 90.00
_cell_angle_gamma 90.00
loop_
_atom_site_label
_atom_site_fract_x
_atom_site_fract_y
_atom_site_fract_z
K1 0.000 0.000 0.000
Mg1 0.250 0.250 0.750
Pd1 0.124 0.124 0.376
```


# K2MgPd2

K2MgPd2 after structural relaxation (PBE-GGA, the Alexandria database).

Geometry as CIF:
```
data_K2MgPd2
_symmetry_space_group_name_H-M 'P 4/m b m'
_symmetry_Int_Tables_number 127
_symmetry_space_group_name_Hall '-P 4 2ab'
_cell_length_a 6.933
_cell_length_b 6.933
_cell_length_c 5.435
_cell_angle_alpha 90.00
_cell_angle_beta 90.00
_cell_angle_gamma 90.00
loop_
_atom_site_label
_atom_site_fract_x
_atom_site_fract_y
_atom_site_fract_z
K1 0.171 0.329 0.000
Mg1 0.000 0.000 0.500
Pd1 0.137 0.637 0.500
```


# K2MgPd

K2MgPd after structural relaxation (PBE-GGA, the Alexandria database).

Geometry as CIF:
```
data_K2MgPd
_symmetry_space_group_name_H-M 'I -4 2 d'
_symmetry_Int_Tables_number 122
_symmetry_space_group_name_Hall 'I -4 2bw'
_cell_length_a 4.508
_cell_length_b 4.508
_cell_length_c 23.877
_cell_angle_alpha 90.00
_cell_angle_beta 90.00
_cell_angle_gamma 90.00
loop_
_atom_site_label
_atom_site_fract_x
_atom_site_fract_y
_atom_site_fract_z
K1 0.233 0.250 0.125
Mg1 0.000 0.000 0.500
Pd1 0.000 0.000 0.000
```


# KMg3Pd

KMg3Pd after structural relaxation (PBE-GGA, the Alexandria database).

Geometry as CIF:
```
data_KMg3Pd
_symmetry_space_group_name_H-M 'P m -3 m'
_symmetry_Int_Tables_number 221
_symmetry_space_group_name_Hall '-P 4 2 3'
_cell_length_a 5.192
_cell_length_b 5.192
_cell_length_c 5.192
_cell_angle_alpha 90.00
_cell_angle_beta 90.00
_cell_angle_gamma 90.00
loop_
_atom_site_label
_atom_site_fract_x
_atom_site_fract_y
_atom_site_fract_z
K1 0.000 0.000 0.000
Mg1 0.000 0.500 0.500
Pd1 0.500 0.500 0.500
```


# KMgPd3

KMgPd3 after structural relaxation (PBE-GGA, the Alexandria database).

Geometry as CIF:
```
data_KMgPd3
_symmetry_space_group_name_H-M 'P m -3 m'
_symmetry_Int_Tables_number 221
_symmetry_space_group_name_Hall '-P 4 2 3'
_cell_length_a 4.867
_cell_length_b 4.867
_cell_length_c 4.867
_cell_angle_alpha 90.00
_cell_angle_beta 90.00
_cell_angle_gamma 90.00
loop_
_atom_site_label
_atom_site_fract_x
_atom_site_fract_y
_atom_site_fract_z
K1 0.000 0.000 0.000
Mg1 0.500 0.500 0.500
Pd1 0.000 0.500 0.500
```

Calculated values
energy above the most stable polymorph in this dataset: 0 meV/atom


# KMgPd3

KMgPd3 after structural relaxation (PBE-GGA, the Alexandria database).

Geometry as CIF:
```
data_KMgPd3
_symmetry_space_group_name_H-M 'P m -3 m'
_symmetry_Int_Tables_number 221
_symmetry_space_group_name_Hall '-P 4 2 3'
_cell_length_a 4.991
_cell_length_b 4.991
_cell_length_c 4.991
_cell_angle_alpha 90.00
_cell_angle_beta 90.00
_cell_angle_gamma 90.00
loop_
_atom_site_label
_atom_site_fract_x
_atom_site_fract_y
_atom_site_fract_z
K1 0.000 0.000 0.000
Mg1 0.500 0.500 0.500
Pd1 0.000 0.000 0.500
```

Calculated values
energy above the most stable polymorph in this dataset: 874 meV/atom


# K2MgPdPt

K2MgPdPt after structural relaxation (PBE-GGA, the Alexandria database).

Geometry as CIF:
```
data_K2MgPdPt
_symmetry_space_group_name_H-M 'P 4/m m m'
_symmetry_Int_Tables_number 123
_symmetry_space_group_name_Hall '-P 4 2'
_cell_length_a 6.235
_cell_length_b 6.235
_cell_length_c 4.715
_cell_angle_alpha 90.00
_cell_angle_beta 90.00
_cell_angle_gamma 90.00
loop_
_atom_site_label
_atom_site_fract_x
_atom_site_fract_y
_atom_site_fract_z
K1 0.000 0.500 0.000
Mg1 0.000 0.000 0.000
Pd1 0.000 0.000 0.500
Pt1 0.500 0.500 0.500
```


# KRbMg2Pd

KRbMg2Pd after structural relaxation (PBE-GGA, the Alexandria database).

Geometry as CIF:
```
data_KRbMg2Pd
_symmetry_space_group_name_H-M 'P 4/m m m'
_symmetry_Int_Tables_number 123
_symmetry_space_group_name_Hall '-P 4 2'
_cell_length_a 5.293
_cell_length_b 5.293
_cell_length_c 6.367
_cell_angle_alpha 90.00
_cell_angle_beta 90.00
_cell_angle_gamma 90.00
loop_
_atom_site_label
_atom_site_fract_x
_atom_site_fract_y
_atom_site_fract_z
K1 0.000 0.000 0.000
Rb1 0.500 0.500 0.000
Mg1 0.000 0.500 0.500
Pd1 0.500 0.500 0.500
```


# KMgPd2Rh

KMgPd2Rh after structural relaxation (PBE-GGA, the Alexandria database).

Geometry as CIF:
```
data_KMgPd2Rh
_symmetry_space_group_name_H-M 'P 4/m m m'
_symmetry_Int_Tables_number 123
_symmetry_space_group_name_Hall '-P 4 2'
_cell_length_a 4.863
_cell_length_b 4.863
_cell_length_c 4.798
_cell_angle_alpha 90.00
_cell_angle_beta 90.00
_cell_angle_gamma 90.00
loop_
_atom_site_label
_atom_site_fract_x
_atom_site_fract_y
_atom_site_fract_z
K1 0.000 0.000 0.000
Mg1 0.500 0.500 0.500
Pd1 0.000 0.500 0.500
Rh1 0.500 0.500 0.000
```


# KSrMg2Pd

KSrMg2Pd after structural relaxation (PBE-GGA, the Alexandria database).

Geometry as CIF:
```
data_KSrMg2Pd
_symmetry_space_group_name_H-M 'P 4/m m m'
_symmetry_Int_Tables_number 123
_symmetry_space_group_name_Hall '-P 4 2'
_cell_length_a 5.374
_cell_length_b 5.374
_cell_length_c 5.771
_cell_angle_alpha 90.00
_cell_angle_beta 90.00
_cell_angle_gamma 90.00
loop_
_atom_site_label
_atom_site_fract_x
_atom_site_fract_y
_atom_site_fract_z
K1 0.000 0.000 0.000
Sr1 0.500 0.500 0.000
Mg1 0.000 0.500 0.500
Pd1 0.500 0.500 0.500
```


# KMg2TlPd

KMg2TlPd after structural relaxation (PBE-GGA, the Alexandria database).

Geometry as CIF:
```
data_KMg2TlPd
_symmetry_space_group_name_H-M 'P 4/m m m'
_symmetry_Int_Tables_number 123
_symmetry_space_group_name_Hall '-P 4 2'
_cell_length_a 5.196
_cell_length_b 5.196
_cell_length_c 5.344
_cell_angle_alpha 90.00
_cell_angle_beta 90.00
_cell_angle_gamma 90.00
loop_
_atom_site_label
_atom_site_fract_x
_atom_site_fract_y
_atom_site_fract_z
K1 0.000 0.000 0.000
Mg1 0.000 0.500 0.500
Tl1 0.500 0.500 0.000
Pd1 0.500 0.500 0.500
```


What formation energy from the elements values result from the calculations? In sequence: -0.18; -0.13; 0.24; -0.17; -0.02; -0.04; -0.02; 0.00; -0.06; -0.08; 0.05; 0.07; -0.10; 1.05; -0.14; -0.06; 0.36; -0.21; 0.19; 1.06; 0.66; -0.02; 0.48; -0.19; -0.18 eV/atom.
What DOS at the Fermi energy values result from the calculations? In sequence: 6.42; 3.01; 4.50; 2.94; 7.63; 3.96; 10.33; 30.03; 2.48; 3.38; 24.17; 2.86; 6.29; 2.17; 22.61; 3.14; 6.47; 2.56; 1.81; 2.39; 2.74; 2.14; 3.79; 2.73; 2.20 states/eV per cell.